1.
Computed, not measured: a geometry-optimized LaTb3Y2Te6 structure at the PBE-GGA level of DFT.

Calculated values
For the uncorrected formation energy, the calculation gives -1356 meV per atom.

Cell lengths 4.386, 8.859, 9.840 Å; angles 102.79, 102.88, 90.00 degrees
Sites, in units of the cell vectors:
Tb1 0.838 0.168 0.676
Tb2 0.500 0.500 0.000
Tb3 0.162 0.832 0.324
Te1 0.668 0.583 0.335
Te2 0.998 0.739 0.996
Te3 0.327 0.914 0.655
Te4 0.332 0.417 0.665
Te5 0.002 0.261 0.004
Te6 0.673 0.086 0.345
Y1 0.166 0.331 0.331
Y2 0.834 0.669 0.669
La1 0.500 0.000 0.000


2.
Computed, not measured: a geometry-optimized CeSm2Tm3 structure at the PBE-GGA level of DFT.

Calculated values
The value obtained for the energy above the most stable polymorph in this dataset is 0.0000 eV per atom. For the energy relative to the elements, the calculation gives 0.13 eV per atom.

Cell lengths 3.475, 10.102, 11.708 Å; angles 72.29, 81.47, 80.10 degrees
Last column: magnetic moment on the atom in μB.
Sites, in units of the cell vectors:
Tm1 0.259 0.370 0.112  0.04
Tm2 0.900 0.055 0.146  -0.04
Tm3 0.741 0.630 0.888  0.04
Tm4 0.100 0.945 0.854  -0.04
Tm5 0.757 0.873 0.613  0.01
Tm6 0.243 0.127 0.387  0.01
Ce1 0.600 0.445 0.356  0.85
Ce2 0.400 0.555 0.644  0.85
Sm1 0.919 0.296 0.865  0.00
Sm2 0.581 0.205 0.633  0.01
Sm3 0.081 0.704 0.135  0.00
Sm4 0.419 0.795 0.367  0.01


3.
Computed, not measured: a geometry-optimized AcAs2Cl8 structure at the PBE-GGA level of DFT.

Calculated values
For the uncorrected formation energy, the calculation gives -1086 meV per atom.

Cell lengths 7.674, 8.013, 8.013 Å; angles 69.02, 72.68, 72.68 degrees
Last column: magnetic moment on the atom in μB.
Sites, in units of the cell vectors:
Cl1 0.782 0.121 0.726  0.03
Cl2 0.199 0.320 0.320  0.01
Cl3 0.782 0.726 0.121  0.03
Cl4 0.326 0.792 0.792  0.01
Cl5 0.218 0.274 0.879  0.03
Cl6 0.801 0.680 0.680  0.01
Cl7 0.218 0.879 0.274  0.03
Cl8 0.674 0.208 0.208  0.01
Ac1 0.000 0.000 0.000  0.01
As1 0.398 0.155 0.155  0.20
As2 0.602 0.845 0.845  0.20


Number 1: calculated density 7.13 Mg/m³. Number 2: calculated density 8.20 Mg/m³. Number 3: calculated density 2.56 Mg/m³.